Entry 1:
VASP calculation (PBE-GGA) on a geometry-optimized Ga2Ru2Pb structure.

Calculated values
DOS(E_F) = 4.6 states/eV/f.u.
space-group type = P4/mbm, No. 127
formation energy from the elements = 0.0 kcal/mol of atoms
calculated density = 10.87 Mg/m³
E_tot = -28.304 eV per formula unit

```
Ga2Ru2Pb
1.0
-5.081 5.247 0.009
-1.214 -1.188 7.104
2.196 2.126 0.731
Ru Ga Pb
4 4 2
direct
0.848 0.652 0.000
0.652 0.152 0.000
0.152 0.348 0.000
0.348 0.848 0.000
0.359 0.141 0.500
0.141 0.641 0.500
0.859 0.359 0.500
0.641 0.859 0.500
0.500 0.500 0.000
0.000 0.000 0.000
```

Entry 2:
VASP calculation (PBE-GGA) on a geometry-optimized SrPr2Pt2 structure.

Calculated values
DOS(E_F) = 4.4 states/eV/f.u.
space-group type = P4/mbm, No. 127
formation energy from the elements = -19.2 kcal/mol of atoms
calculated density = 9.19 Mg/m³
E_tot = -27.494 eV per formula unit

```
SrPr2Pt2
1.0
-2.145 2.989 -1.730
-6.874 -2.982 3.369
1.208 4.703 6.627
Pt Sr Pr
4 2 4
direct
0.000 0.365 0.865
0.000 0.865 0.635
0.000 0.635 0.135
0.000 0.135 0.365
0.000 0.500 0.500
0.000 0.000 0.000
0.500 0.656 0.844
0.500 0.344 0.156
0.500 0.156 0.656
0.500 0.844 0.344
```

Entry 3:
VASP calculation (PBE-GGA) on a geometry-optimized MgIn4Bi3 structure.

Calculated values
DOS(E_F) = 3.1 states/eV/f.u.
space-group type = P1, No. 1
formation energy from the elements = 0.0 kcal/mol of atoms
calculated density = 7.90 Mg/m³
E_tot = -24.191 eV per formula unit

```
MgIn4Bi3
1.0
-1.118 -2.807 -5.814
3.330 -6.038 -1.039
-8.251 -5.786 5.137
Mg In Bi
2 8 6
direct
0.928 0.481 0.994
0.702 0.518 0.507
0.347 0.746 0.241
0.870 0.038 0.001
0.196 0.510 0.503
0.759 0.962 0.498
0.511 0.755 0.762
0.118 0.245 0.738
0.433 0.491 0.997
0.281 0.255 0.259
0.622 0.264 0.718
0.754 0.279 0.280
0.007 0.736 0.782
0.874 0.722 0.220
0.362 0.035 0.008
0.267 0.966 0.492
```

Entry 4:
VASP calculation (PBE-GGA) on a geometry-optimized Pm2NdEr structure.

Calculated values
DOS(E_F) = 6.3 states/eV/f.u.
space-group type = P4/mmm, No. 123
formation energy from the elements = 0.4 kcal/mol of atoms
energy above the lowest structure with this stoichiometry = 0 meV per atom
calculated density = 7.44 Mg/m³
E_tot = -18.768 eV per formula unit

```
Pm2NdEr
1.0
5.126 0.000 0.000
0.000 5.118 0.000
0.000 0.000 5.118
Er Pm Nd
1 2 1
direct
0.500 0.500 0.500
0.000 0.000 0.500
0.000 0.500 0.000
0.500 0.000 0.000
```

Entry 5:
VASP calculation (PBE-GGA) on a geometry-optimized PrSm2ScS6 structure.

Calculated values
DOS(E_F) = 0.0 states/eV/f.u.
space-group type = R3, No. 146
calculated density = 4.32 Mg/m³
E_tot = -64.953 eV per formula unit

```
PrSm2ScS6
1.0
6.990 0.000 0.001
3.495 6.053 0.001
3.495 2.018 6.171
S Sc Sm Pr
6 1 2 1
direct
0.213 0.946 0.249
0.592 0.213 0.249
0.411 0.700 0.761
0.946 0.592 0.249
0.128 0.411 0.761
0.700 0.128 0.761
0.320 0.320 0.040
0.523 0.523 0.430
0.017 0.017 0.949
0.811 0.811 0.565
```

Entry 6:
VASP calculation (PBE-GGA) on a geometry-optimized Rb4ZrU3S8 structure.

Calculated values
DOS(E_F) = 13.6 states/eV/f.u.
space-group type = R-3m, No. 166
calculated density = 5.42 Mg/m³
E_tot = -101.271 eV per formula unit

```
Rb4ZrU3S8
1.0
-2.516 -1.267 7.482
5.993 -6.708 0.879
2.956 7.135 -2.069
S Rb U Zr
8 4 3 1
direct
0.732 0.697 0.465
0.259 0.307 0.033
0.741 0.693 0.967
0.268 0.303 0.535
0.774 0.307 0.033
0.226 0.693 0.967
0.226 0.693 0.451
0.774 0.307 0.549
0.500 0.000 0.000
0.000 0.000 0.000
0.500 0.000 0.500
0.000 0.000 0.500
0.500 0.500 0.500
0.500 0.500 0.000
0.000 0.500 0.500
0.000 0.500 0.000
```

Question: Number 4 is which compound?
Answer: Pm2NdEr

Question: The lowest calculated density belongs to which entry?
Answer: PrSm2ScS6

Question: Look up the E_tot of the second one.
Answer: -27.494 eV per formula unit

What did the first record say?
VASP calculation (PBE-GGA) on a geometry-optimized Ga2Ru2Pb structure.

Calculated values
DOS(E_F) = 4.6 states/eV/f.u.
space-group type = P4/mbm, No. 127
formation energy from the elements = 0.0 kcal/mol of atoms
calculated density = 10.87 Mg/m³
E_tot = -28.304 eV per formula unit

```
Ga2Ru2Pb
1.0
-5.081 5.247 0.009
-1.214 -1.188 7.104
2.196 2.126 0.731
Ru Ga Pb
4 4 2
direct
0.848 0.652 0.000
0.652 0.152 0.000
0.152 0.348 0.000
0.348 0.848 0.000
0.359 0.141 0.500
0.141 0.641 0.500
0.859 0.359 0.500
0.641 0.859 0.500
0.500 0.500 0.000
0.000 0.000 0.000
```